Below is crystalline CePu4Pa3P8 at its relaxed geometry, with properties calculated at the GGA-PBE level.

Lattice parameters (Å, degrees): 13.7839 8.0152 7.9626 90.00 124.80 90.00
Closest atoms and distances in Å follow each position.
Space group C2/m (No. 12)
One atom of each set of equivalent atoms:
Ce  0.0000  0.0000  0.0000 [2 per cell]  6 P 2.85
Pu  0.0000  0.0000  0.5000 [2 per cell]  6 P 2.84-2.85
Pu  0.0000  0.5000  0.5000 [2 per cell]  6 P 2.80-2.81
Pu  0.2500  0.2500  0.0000 [4 per cell]  6 P 2.83-2.85
Pa  0.0000  0.5000  0.0000 [2 per cell]  6 P 2.81
Pa  0.2500  0.2500  0.5000 [4 per cell]  6 P 2.81-2.82
P  0.0020  0.2535  0.2532 [8 per cell]  3 Pu 2.80-2.85, 2 Pa 2.81, 1 Ce 2.85
P  0.2484  0.5000  0.2501 [4 per cell]  3 Pa 2.81-2.82, 3 Pu 2.83-2.85
P  0.2484  0.5000  0.7460 [4 per cell]  2 Pa 2.81, 3 Pu 2.81-2.84, 1 Ce 2.85

Output
The formation enthalpy at 0 K comes out at -1.273 eV/atom. The uncorrected energy is -9.7126 eV per atom. For the density, the calculation gives 9456 kg/m³. As for the crystal system: monoclinic.